Record 1
The following is a DFT calculation (PBEsol) of a relaxed TaZnRu crystal.

a = 2.9940 Å, b = 3.5254 Å, c = 4.7884 Å
α = 111.60°, β = 108.22°, γ = 90.00°
Fractional positions:
Ru 0.9988 0.9988 0.9976
Zn 0.3383 0.3383 0.6766
Ta 0.6629 0.6629 0.3257

Summary:
crystal system	orthorhombic
symmetry	Imm2
magnetic moment	0.00	μB/f.u.
total DFT energy (no corrections)	-8.257	eV/atom



Record 2
The following is a DFT calculation (PBEsol) of a relaxed SrMnO2F crystal.

a = 4.4124 Å, b = 4.4946 Å, c = 4.4946 Å
α = 90.00°, β = 90.00°, γ = 90.00°
Site moments in Bohr magnetons follow the coordinates.
Fractional positions:
Sr 0.0000 0.0000 0.0000  0.07
O 0.0000 0.5000 0.0000  0.48
Mn 0.5000 0.5000 0.5000  4.56
O 0.0000 0.0000 0.5000  0.48
F 0.5000 0.0000 0.0000  0.01

Summary:
crystal system	tetragonal
symmetry	P4/mmm
magnetic moment	6.04	μB/f.u.
total DFT energy (no corrections)	-5.620	eV/atom



Record 3
The following is a DFT calculation (PBEsol) of a relaxed SnGeAu2 crystal.

a = 4.7968 Å, b = 4.7968 Å, c = 4.7968 Å
α = 60.00°, β = 60.00°, γ = 60.00°
Fractional positions:
Sn 0.5000 0.5000 0.5000
Au 0.2500 0.2500 0.2500
Au 0.7500 0.7500 0.7500
Ge 0.0000 0.0000 0.0000

Summary:
crystal system	cubic
symmetry	Fm-3m
magnetic moment	0.00	μB/f.u.
total DFT energy (no corrections)	-4.208	eV/atom



Record 4
The following is a DFT calculation (PBEsol) of a relaxed PbCl3F crystal.

a = 4.6859 Å, b = 4.6859 Å, c = 4.6859 Å
α = 90.00°, β = 90.00°, γ = 90.00°
Fractional positions:
Cl 0.0000 0.0000 0.5000
F 0.0000 0.0000 0.0000
Pb 0.5000 0.5000 0.5000
Cl 0.0000 0.5000 0.0000
Cl 0.5000 0.0000 0.0000

Summary:
crystal system	cubic
symmetry	Pm-3m
magnetic moment	0.01	μB/f.u.
total DFT energy (no corrections)	-2.706	eV/atom